This record from Alexandria describes a relaxed Ga3TcS crystal. The functional is GGA-PBE.

The structure in CIF format:
```
data_Ga3TcS
_space_group_name_H-M_alt 'P 1'
_space_group_IT_number 1
_space_group_name_Hall 'P 1'
_cell_length_a 4.700
_cell_length_b 4.700
_cell_length_c 4.700
_cell_angle_alpha 90.00
_cell_angle_beta 90.00
_cell_angle_gamma 90.00
loop_
_atom_site_label
_atom_site_type_symbol
_atom_site_fract_x
_atom_site_fract_y
_atom_site_fract_z
Ga1 Ga 0.000 0.000 0.500
Ga2 Ga 0.000 0.500 0.000
Ga3 Ga 0.500 0.000 0.000
Tc1 Tc 0.500 0.500 0.500
S1 S 0.000 0.000 0.000
```

Summary:
uncorrected formation energy = 0.93 eV per atom
total moment = 2.50 μB/f.u.
energy above the lowest structure with this stoichiometry = 479 meV per atom
SG = No. 221



This record from Alexandria describes a relaxed Ta2Nb8Rh crystal. The functional is GGA-PBE.

The structure in CIF format:
```
data_Ta2Nb8Rh
_space_group_name_H-M_alt 'P 1'
_space_group_IT_number 1
_space_group_name_Hall 'P 1'
_cell_length_a 5.600
_cell_length_b 5.600
_cell_length_c 7.685
_cell_angle_alpha 90.32
_cell_angle_beta 90.32
_cell_angle_gamma 59.19
loop_
_atom_site_label
_atom_site_type_symbol
_atom_site_fract_x
_atom_site_fract_y
_atom_site_fract_z
Ta1 Ta 0.166 0.166 0.275
Ta2 Ta 0.834 0.834 0.725
Nb1 Nb 0.166 0.671 0.286
Nb2 Nb 0.329 0.834 0.714
Nb3 Nb 0.332 0.332 0.573
Nb4 Nb 0.334 0.334 0.940
Nb5 Nb 0.666 0.666 0.060
Nb6 Nb 0.668 0.668 0.427
Nb7 Nb 0.671 0.166 0.286
Nb8 Nb 0.834 0.329 0.714
Rh1 Rh 0.000 0.000 0.000
```

Summary:
total moment = 0.00 μB/f.u.
energy above the lowest structure with this stoichiometry = 263 meV per atom
SG = No. 12



This record from Alexandria describes a relaxed SrHoInAu crystal. The functional is GGA-PBE.

The structure in CIF format:
```
data_SrHoInAu
_space_group_name_H-M_alt 'P 1'
_space_group_IT_number 1
_space_group_name_Hall 'P 1'
_cell_length_a 7.603
_cell_length_b 7.603
_cell_length_c 7.603
_cell_angle_alpha 90.00
_cell_angle_beta 90.00
_cell_angle_gamma 90.00
loop_
_atom_site_label
_atom_site_type_symbol
_atom_site_fract_x
_atom_site_fract_y
_atom_site_fract_z
Sr1 Sr 0.000 0.000 0.000
Sr2 Sr 0.000 0.500 0.500
Sr3 Sr 0.500 0.000 0.500
Sr4 Sr 0.500 0.500 0.000
Ho1 Ho 0.000 0.000 0.500
Ho2 Ho 0.000 0.500 0.000
Ho3 Ho 0.500 0.000 0.000
Ho4 Ho 0.500 0.500 0.500
In1 In 0.250 0.250 0.250
In2 In 0.250 0.750 0.750
In3 In 0.750 0.250 0.750
In4 In 0.750 0.750 0.250
Au1 Au 0.250 0.250 0.750
Au2 Au 0.250 0.750 0.250
Au3 Au 0.750 0.250 0.250
Au4 Au 0.750 0.750 0.750
```

Summary:
total moment = 0.00 μB/f.u.
SG = No. 216
final energy = -57.273 eV/cell



This record from Alexandria describes a relaxed AgO2F3 crystal. The functional is GGA-PBE.

The structure in CIF format:
```
data_AgO2F3
_space_group_name_H-M_alt 'P 1'
_space_group_IT_number 1
_space_group_name_Hall 'P 1'
_cell_length_a 7.107
_cell_length_b 7.107
_cell_length_c 7.365
_cell_angle_alpha 109.10
_cell_angle_beta 109.10
_cell_angle_gamma 31.76
loop_
_atom_site_label
_atom_site_type_symbol
_atom_site_fract_x
_atom_site_fract_y
_atom_site_fract_z
Ag1 Ag 0.001 0.999 0.750
Ag2 Ag 0.999 0.001 0.250
O1 O 0.245 0.249 0.741
O2 O 0.249 0.245 0.241
O3 O 0.751 0.755 0.759
O4 O 0.755 0.751 0.259
F1 F 0.104 0.106 0.523
F2 F 0.106 0.104 0.023
F3 F 0.499 0.501 0.250
F4 F 0.501 0.499 0.750
F5 F 0.894 0.896 0.977
F6 F 0.896 0.894 0.477
```

Summary:
uncorrected formation energy = 0.12 eV per atom
total moment = 2.36 μB/f.u.
SG = No. 15



This record from Alexandria describes a relaxed BaSr4Zn2 crystal. The functional is GGA-PBE.

The structure in CIF format:
```
data_BaSr4Zn2
_space_group_name_H-M_alt 'P 1'
_space_group_IT_number 1
_space_group_name_Hall 'P 1'
_cell_length_a 5.621
_cell_length_b 18.926
_cell_length_c 5.618
_cell_angle_alpha 90.00
_cell_angle_beta 90.00
_cell_angle_gamma 90.00
loop_
_atom_site_label
_atom_site_type_symbol
_atom_site_fract_x
_atom_site_fract_y
_atom_site_fract_z
Ba1 Ba 0.000 0.000 0.000
Ba2 Ba 0.500 0.500 0.000
Sr1 Sr 0.000 0.164 0.500
Sr2 Sr 0.000 0.335 0.000
Sr3 Sr 0.000 0.665 0.000
Sr4 Sr 0.000 0.836 0.500
Sr5 Sr 0.500 0.165 0.000
Sr6 Sr 0.500 0.336 0.500
Sr7 Sr 0.500 0.664 0.500
Sr8 Sr 0.500 0.835 0.000
Zn1 Zn 0.000 0.434 0.500
Zn2 Zn 0.000 0.566 0.500
Zn3 Zn 0.500 0.066 0.500
Zn4 Zn 0.500 0.934 0.500
```

Summary:
total moment = 0.00 μB/f.u.
SG = No. 65
final energy = -22.790 eV/cell



This record from Alexandria describes a relaxed Na2Bi crystal. The functional is GGA-PBE.

The structure in CIF format:
```
data_Na2Bi
_space_group_name_H-M_alt 'P 1'
_space_group_IT_number 1
_space_group_name_Hall 'P 1'
_cell_length_a 3.674
_cell_length_b 4.818
_cell_length_c 9.865
_cell_angle_alpha 90.00
_cell_angle_beta 90.00
_cell_angle_gamma 90.00
loop_
_atom_site_label
_atom_site_type_symbol
_atom_site_fract_x
_atom_site_fract_y
_atom_site_fract_z
Na1 Na 0.000 0.000 0.161
Na2 Na 0.000 0.000 0.839
Na3 Na 0.500 0.500 0.339
Na4 Na 0.500 0.500 0.661
Bi1 Bi 0.000 0.000 0.500
Bi2 Bi 0.500 0.500 0.000
```

Summary:
total moment = 0.00 μB/f.u.
energy above the lowest structure with this stoichiometry = 0 meV per atom
SG = No. 71



This record from Alexandria describes a relaxed Li2MoRh crystal. The functional is GGA-PBE.

The structure in CIF format:
```
data_Li2MoRh
_space_group_name_H-M_alt 'P 1'
_space_group_IT_number 1
_space_group_name_Hall 'P 1'
_cell_length_a 2.900
_cell_length_b 4.443
_cell_length_c 8.168
_cell_angle_alpha 90.00
_cell_angle_beta 90.00
_cell_angle_gamma 90.00
loop_
_atom_site_label
_atom_site_type_symbol
_atom_site_fract_x
_atom_site_fract_y
_atom_site_fract_z
Li1 Li 0.000 0.000 0.000
Li2 Li 0.000 0.500 0.279
Li3 Li 0.500 0.000 0.779
Li4 Li 0.500 0.500 0.500
Mo1 Mo 0.000 0.500 0.767
Mo2 Mo 0.500 0.000 0.267
Rh1 Rh 0.000 0.000 0.532
Rh2 Rh 0.500 0.500 0.032
```

Summary:
total moment = 0.00 μB/f.u.
energy above the lowest structure with this stoichiometry = 166 meV per atom
SG = No. 44



This record from Alexandria describes a relaxed LiHfNb3 crystal. The functional is GGA-PBE.

The structure in CIF format:
```
data_LiHfNb3
_space_group_name_H-M_alt 'P 1'
_space_group_IT_number 1
_space_group_name_Hall 'P 1'
_cell_length_a 4.520
_cell_length_b 4.520
_cell_length_c 4.520
_cell_angle_alpha 90.00
_cell_angle_beta 90.00
_cell_angle_gamma 90.00
loop_
_atom_site_label
_atom_site_type_symbol
_atom_site_fract_x
_atom_site_fract_y
_atom_site_fract_z
Li1 Li 0.000 0.000 0.000
Hf1 Hf 0.500 0.500 0.500
Nb1 Nb 0.000 0.000 0.500
Nb2 Nb 0.000 0.500 0.000
Nb3 Nb 0.500 0.000 0.000
```

Summary:
total moment = 0.00 μB/f.u.
energy above the lowest structure with this stoichiometry = 0 meV per atom
SG = No. 221